(i)
NaSbTe2N (PBE, optimized geometry); total magnetization = 2.85 μB per cell
1.0
5.547 0.000 0.000
0.000 5.547 0.000
0.000 0.000 5.483
Te N Na Sb
2 1 1 1
Direct
0.500 0.000 0.000
0.000 0.500 0.000
0.500 0.500 0.500
0.000 0.000 0.000
0.000 0.000 0.500


(ii)
NaSbTe2N (PBE, optimized geometry); total magnetization = 0.00 μB per cell
1.0
-2.715 -4.354 3.224
2.458 -4.204 -3.607
3.114 -0.199 2.354
Te Na N Sb
2 1 1 1
Direct
0.500 0.000 0.000
0.000 0.500 0.000
0.500 0.500 0.500
0.000 0.000 0.500
0.000 0.000 0.000


Which is most stable? The ranking, best first, is (ii), (i).


(i)
NaSbTe2N (PBE, optimized geometry); total magnetization = 2.85 μB per cell
1.0
-1.142 -5.301 -1.599
0.344 -1.698 5.381
-4.187 0.750 0.504
Te N Sb Na
2 1 1 1
Direct
0.500 0.000 0.000
0.000 0.500 0.000
0.000 0.000 0.500
0.500 0.500 0.500
0.000 0.000 0.000


(ii)
NaSbTe2N (PBE, optimized geometry); total magnetization = 0.00 μB per cell
1.0
-1.447 -0.863 -4.789
0.829 -4.966 0.645
-4.340 -0.542 1.409
Sb Na Te N
1 1 2 1
Direct
0.000 0.000 0.500
0.500 0.500 0.500
0.500 0.000 0.000
0.000 0.500 0.000
0.000 0.000 0.000


Which is most stable? The ranking, best first, is (ii), (i).